w | SmDyPt2: optimized geometry, PBE.

Cell and atoms, written as POSCAR:
```
SmDyPt2
1.0
2.029 1.172 6.959
-2.029 1.172 6.959
0.000 -2.343 6.959
Sm Dy Pt
1 1 2
Direct
0.000 0.000 0.000 Sm
0.172 0.172 0.172 Dy
0.585 0.585 0.585 Pt
0.754 0.754 0.754 Pt
```

Results
Total magnetic moment = 0.0 μB/cell

x | SmDyPt2: optimized geometry, PBE.

Cell and atoms, written as POSCAR:
```
SmDyPt2
1.0
0.000 3.533 3.533
3.533 0.000 3.533
3.533 3.533 0.000
Sm Dy Pt
1 1 2
Direct
0.000 0.000 0.000 Sm
0.500 0.500 0.500 Dy
0.250 0.250 0.250 Pt
0.750 0.750 0.750 Pt
```

Results
Total magnetic moment = 0.0 μB/cell

What should be chosen as the most stable of them? Choose x.